Below is La3GdCl4O4 after structural relaxation, with properties calculated at the PBE-GGA level.

E_form (uncorrected) = -3133 meV per atom
Total magnetic moment = 0.577 μB/atom
V = 232.26 Å³/cell

```
data_La3GdCl4O4
_chemical_formula_sum 'La3 Gd1 Cl4 O4'
_cell_length_a 4.087
_cell_length_b 8.172
_cell_length_c 6.955
_cell_angle_alpha 90.00
_cell_angle_beta 90.00
_cell_angle_gamma 90.00
_space_group_name_H-M_alt 'P m m 2'
_space_group_IT_number 25
loop_
_space_group_symop_operation_xyz
'x,y,z'
'-x,-y,z'
'-x,y,z'
'x,-y,z'
loop_
_atom_site_label
_atom_site_fract_x
_atom_site_fract_y
_atom_site_fract_z
_atom_site_occupancy
La1 0.000 0.000 0.000 1
La2 0.500 0.252 0.352 1
Gd1 0.000 0.500 0.015 1
Cl1 0.000 0.000 0.546 1
Cl2 0.000 0.500 0.552 1
Cl3 0.500 0.254 0.810 1
O1 0.000 0.256 0.175 1
O2 0.500 0.000 0.177 1
O3 0.500 0.500 0.173 1
```